Here is a relaxed structure of Li2ScSi from Alexandria. Energies are from GGA-PBE.

Output
* E: -4.013 eV/atom
* ΔE_f (raw): -0.47 eV/f.u.
* total magnetic moment: 0.00 μB/cell

a b c (Å): 3.857 3.857 19.719
angles (deg): 90.00 90.00 90.00
Space group I-42d (No. 122)
Unique sites:
Li (0.197, 0.750, 0.125) (multiplicity 8)
Sc (0.000, 0.000, 0.500) (multiplicity 4)
Si (0.000, 0.000, 0.000) (multiplicity 4)


Here is a relaxed structure of Na4Pr3GeO8 from Alexandria. Energies are from GGA-PBE.

Output
* E: -6.192 eV/atom
* ΔE_f (raw): -35.18 eV/f.u.
* total magnetic moment: 0.00 μB/cell

a b c (Å): 7.0308 7.0308 16.9192
angles (deg): 90.00 90.00 120.00
Space group R-3m (No. 166, hexagonal axes)
Unique sites:
Na (0.0000, 0.0000, 0.0000) (multiplicity 3)
Na (0.0000, 0.5000, 0.0000) (multiplicity 9)
Pr (0.0000, 0.5000, 0.5000) (multiplicity 9)
Ge (0.0000, 0.0000, 0.5000) (multiplicity 3)
O (0.0000, 0.0000, 0.2404) (multiplicity 6)
O (0.0265, 0.5133, 0.2372) (multiplicity 18)


Here is a relaxed structure of Pm3Sm4Sc2 from Alexandria. Energies are from GGA-PBE.

Output
* E: -4.986 eV/atom
* ΔE to the lowest computed polymorph: 60 meV per atom
* ΔE_f: 2.4 kcal/mol of atoms
* total magnetic moment: 0.01 μB/cell

a b c (Å): 3.5663 3.5663 26.3341
angles (deg): 90.00 90.00 120.00
Space group P3m1 (No. 156)
Unique sites:
Pm (0.0000, 0.0000, 0.0000) (multiplicity 1)
Pm (0.0000, 0.0000, 0.3346) (multiplicity 1)
Pm (0.6667, 0.3333, 0.6773) (multiplicity 1)
Sm (0.0000, 0.0000, 0.5630) (multiplicity 1)
Sm (0.0000, 0.0000, 0.7926) (multiplicity 1)
Sm (0.6667, 0.3333, 0.2246) (multiplicity 1)
Sm (0.6667, 0.3333, 0.4508) (multiplicity 1)
Sc (0.6667, 0.3333, 0.1023) (multiplicity 1)
Sc (0.6667, 0.3333, 0.8947) (multiplicity 1)